Record 1
Zr2CoHPd: optimized geometry, GGA-PBE.

Cell: 4.4427 4.4427 3.7165 Å, 90.00 90.00 90.00°
Space group P4/mmm (No. 123)
Unique sites:
Zr 0.0000 0.5000 0.0000 x2
Co 0.0000 0.0000 0.5000 x1
H 0.5000 0.5000 0.0000 x1
Pd 0.5000 0.5000 0.5000 x1

Calculated values
Energy above the most stable polymorph in this dataset, meV/atom: 99

=====

Record 2
ZrCoHPd2: optimized geometry, GGA-PBE.

Cell: 3.9484 3.9484 4.0647 Å, 90.00 90.00 90.00°
Space group P4/mmm (No. 123)
Unique sites:
Zr 0.0000 0.0000 0.0000 x1
Co 0.5000 0.5000 0.0000 x1
H 0.5000 0.5000 0.5000 x1
Pd 0.0000 0.5000 0.5000 x2

=====

Record 3
Pm12Co3H5: optimized geometry, GGA-PBE.

Cell: 15.3012 15.3012 15.3012 Å, 90.00 90.00 90.00°
Space group Ia-3d (No. 230)
Unique sites:
Pm 0.0331 0.0640 0.6547 x96
Co 0.0000 0.2500 0.1250 x24
H 0.0000 0.0000 0.0000 x16
H 0.0000 0.2500 0.3750 x24

=====

Record 4
PmCoH6: optimized geometry, GGA-PBE.

Cell: 7.2828 7.2828 7.2828 Å, 90.00 90.00 90.00°
Space group Fm-3m (No. 225)
Unique sites:
Pm 0.0000 0.0000 0.0000 x4
Co 0.0000 0.0000 0.5000 x4
H 0.0000 0.0000 0.2938 x24

Calculated values
Energy above the most stable polymorph in this dataset, meV/atom: 315

=====

Record 5
PmCoH: optimized geometry, GGA-PBE.

Cell: 3.7346 3.7346 3.6296 Å, 90.00 90.00 120.00°
Space group P-6m2 (No. 187)
Unique sites:
Pm 0.0000 0.0000 0.0000 x1
Co 0.6667 0.3333 0.5000 x1
H 0.3333 0.6667 0.5000 x1

Calculated values
Energy above the most stable polymorph in this dataset, meV/atom: 80

=====

Record 6
Pm4Co2H: optimized geometry, GGA-PBE.

Cell: 4.7491 4.7491 13.7851 Å, 90.00 90.00 90.00°
Space group I4/mmm (No. 139)
Unique sites:
Pm 0.0000 0.0000 0.1968 x4
Pm 0.0000 0.5000 0.0000 x4
Co 0.0000 0.0000 0.3818 x4
H 0.0000 0.0000 0.0000 x2

Calculated values
Energy above the most stable polymorph in this dataset, meV/atom: 120

=====

Record 7
PmCo5H11: optimized geometry, GGA-PBE.

Cell: 8.0223 7.6829 4.6714 Å, 90.00 122.03 90.00°
Space group C2/m (No. 12)
Unique sites:
Pm 0.0000 0.0000 0.0000 x2
Co 0.0000 0.5000 0.0000 x2
Co 0.2073 0.1751 0.7063 x8
H 0.0000 0.0000 0.5000 x2
H 0.1059 0.2613 0.3282 x8
H 0.1933 0.3609 0.8838 x8
H 0.2227 0.5000 0.4110 x4

=====

Record 8
PmCo3H6: optimized geometry, GGA-PBE.

Cell: 4.3928 4.3928 14.7200 Å, 90.00 90.00 120.00°
Space group R3 (No. 146, hexagonal axes)
Unique sites:
Pm 0.0000 0.0000 0.0000 x3
Co 0.0000 0.0000 0.2045 x3
Co 0.0000 0.0000 0.5352 x3
Co 0.0000 0.0000 0.8140 x3
H 0.9996 0.5057 0.9414 x9
H 0.0378 0.3393 0.1316 x9

=====

Record 9
PmCoH: optimized geometry, GGA-PBE.

Cell: 6.8182 3.5623 8.5437 Å, 90.00 110.29 90.00°
Space group C2/m (No. 12)
Unique sites:
Pm 0.0384 0.0000 0.3001 x4
Co 0.1991 0.0000 0.0575 x4
H 0.1872 0.5000 0.1079 x4

Calculated values
Energy above the most stable polymorph in this dataset, meV/atom: 0

=====

Record 10
Pm4Co2H: optimized geometry, GGA-PBE.

Cell: 13.9869 3.8260 5.9295 Å, 90.00 100.28 90.00°
Space group C2/m (No. 12)
Unique sites:
Pm 0.0817 0.0000 0.2762 x4
Pm 0.1567 0.5000 0.8168 x4
Co 0.2359 0.5000 0.3789 x4
H 0.0000 0.5000 0.0000 x2

Calculated values
Energy above the most stable polymorph in this dataset, meV/atom: 0

=====

Record 11
Pm2CoH6: optimized geometry, GGA-PBE.

Cell: 7.1064 7.1064 7.1064 Å, 90.00 90.00 90.00°
Space group Fm-3m (No. 225)
Unique sites:
Pm 0.2500 0.2500 0.2500 x8
Co 0.0000 0.0000 0.0000 x4
H 0.0000 0.0000 0.2297 x24

=====

Record 12
PmCoH: optimized geometry, GGA-PBE.

Cell: 3.7826 3.7826 6.8876 Å, 90.00 90.00 90.00°
Space group I4mm (No. 107)
Unique sites:
Pm 0.0000 0.0000 0.0000 x2
Co 0.0000 0.0000 0.5606 x2
H 0.0000 0.0000 0.3397 x2

Calculated values
Energy above the most stable polymorph in this dataset, meV/atom: 109

=====

Record 13
Pm2CoH: optimized geometry, GGA-PBE.

Cell: 3.8790 3.8790 18.4258 Å, 90.00 90.00 120.00°
Space group R-3m (No. 166, hexagonal axes)
Unique sites:
Pm 0.0000 0.0000 0.2477 x6
Co 0.0000 0.0000 0.0000 x3
H 0.0000 0.0000 0.5000 x3

Calculated values
Energy above the most stable polymorph in this dataset, meV/atom: 0

=====

Record 14
PmCoH6: optimized geometry, GGA-PBE.

Cell: 4.3990 4.3990 11.0355 Å, 90.00 90.00 120.00°
Space group R-3m (No. 166, hexagonal axes)
Unique sites:
Pm 0.0000 0.0000 0.0000 x3
Co 0.0000 0.0000 0.5000 x3
H 0.0052 0.5026 0.9071 x18

Calculated values
Energy above the most stable polymorph in this dataset, meV/atom: 0

=====

Record 15
Pm2Co2H: optimized geometry, GGA-PBE.

Cell: 3.9843 3.9843 22.8478 Å, 90.00 90.00 90.00°
Space group I4_1/amd (No. 141, origin choice 2)
Unique sites:
Pm 0.0000 0.2500 0.0721 x8
Co 0.0000 0.2500 0.2290 x8
H 0.0000 0.2500 0.8750 x4

=====

Record 16
Pm2CoH: optimized geometry, GGA-PBE.

Cell: 3.7407 3.7407 20.3851 Å, 90.00 90.00 120.00°
Space group R3m (No. 160, hexagonal axes)
Unique sites:
Pm 0.0000 0.0000 0.0000 x3
Pm 0.0000 0.0000 0.1731 x3
Co 0.0000 0.0000 0.5863 x3
H 0.0000 0.0000 0.4165 x3

Calculated values
Energy above the most stable polymorph in this dataset, meV/atom: 82

=====

Record 17
Pm3CoH: optimized geometry, GGA-PBE.

Cell: 9.7607 6.6007 7.4948 Å, 90.00 107.35 90.00°
Space group P2_1/c (No. 14)
Unique sites:
Pm 0.0770 0.1447 0.2124 x4
Pm 0.3016 0.6611 0.4528 x4
Pm 0.3824 0.1487 0.6254 x4
Co 0.1073 0.5828 0.0728 x4
H 0.4403 0.1337 0.9341 x4

=====

Record 18
Pm2Co3H10: optimized geometry, GGA-PBE.

Cell: 14.8525 4.8724 7.3367 Å, 90.00 111.60 90.00°
Space group C2/m (No. 12)
Unique sites:
Pm 0.1024 0.0000 0.2312 x4
Pm 0.1985 0.0000 0.7791 x4
Co 0.0000 0.2653 0.5000 x4
Co 0.0862 0.5000 0.9777 x4
Co 0.1812 0.5000 0.5055 x4
H 0.0000 0.2972 0.0000 x4
H 0.0262 0.0000 0.6508 x4
H 0.0351 0.5000 0.6920 x4
H 0.1086 0.2529 0.5040 x8
H 0.1376 0.5000 0.2515 x4
H 0.1606 0.2533 0.0055 x8
H 0.2310 0.5000 0.7439 x4
H 0.2500 0.2500 0.5000 x4

=====

Record 19
Pm2CoH: optimized geometry, GGA-PBE.

Cell: 3.2633 3.2633 7.0294 Å, 90.00 90.00 90.00°
Space group P4/mmm (No. 123)
Unique sites:
Pm 0.0000 0.0000 0.2474 x2
Co 0.5000 0.5000 0.0000 x1
H 0.5000 0.5000 0.5000 x1

Calculated values
Energy above the most stable polymorph in this dataset, meV/atom: 162

=====

Record 20
PmCo2H7: optimized geometry, GGA-PBE.

Cell: 4.9045 8.4490 3.4772 Å, 90.00 90.00 90.00°
Space group Cmmm (No. 65)
Unique sites:
Pm 0.0000 0.0000 0.0000 x2
Co 0.0000 0.3126 0.5000 x4
H 0.0000 0.3164 0.0000 x4
H 0.0000 0.5000 0.5000 x2
H 0.1818 0.1496 0.5000 x8

=====

What electronic total energy values result from the calculations? In sequence: -6.854, -6.267, -4.909, -4.045, -4.951, -5.286, -4.541, -4.818, -5.032, -5.406, -4.573, -4.922, -5.150, -4.360, -5.599, -5.068, -5.086, -4.628, -4.988, -4.473 eV per atom.